1.
A relaxed Mg2PtSe crystal, computed with PBE-GGA.

Cell and atoms, written as POSCAR:
```
Mg2PtSe
1.0
-3.0405 3.0405 5.7522
3.0405 -3.0405 5.7522
3.0405 3.0405 -5.7522
Mg Pt Se
4 2 2
Direct
0.1242 0.6250 0.9992
0.3750 0.3742 0.4992
0.6258 0.1250 0.0008
0.8750 0.8758 0.5008
0.2500 0.7500 0.5000
0.5000 0.5000 0.0000
0.0000 0.0000 0.0000
0.7500 0.2500 0.5000
```

Values from the calculation:
Raw formation energy   -0.5393 eV/atom
VASP energy   -14.9 eV per formula unit
Size of the total moment   0.0 μB per formula unit

---

2.
A relaxed MgPtSe2 crystal, computed with PBE-GGA.

Cell and atoms, written as POSCAR:
```
MgPtSe2
1.0
1.9868 1.1471 6.5821
-1.9868 1.1471 6.5821
0.0000 -2.2941 6.5821
Mg Pt Se
1 1 2
Direct
0.0000 0.0000 0.0000
0.7690 0.7690 0.7690
0.2780 0.2780 0.2780
0.4803 0.4803 0.4803
```

Values from the calculation:
Raw formation energy   -0.3854 eV/atom
VASP energy   -16.1 eV per formula unit
Size of the total moment   0.0 μB per formula unit

---

Among the records above, which one has the lowest raw formation energy? Mg2PtSe

---

What did the second record say?
A relaxed MgPtSe2 crystal, computed with PBE-GGA.

Cell and atoms, written as POSCAR:
```
MgPtSe2
1.0
1.9868 1.1471 6.5821
-1.9868 1.1471 6.5821
0.0000 -2.2941 6.5821
Mg Pt Se
1 1 2
Direct
0.0000 0.0000 0.0000
0.7690 0.7690 0.7690
0.2780 0.2780 0.2780
0.4803 0.4803 0.4803
```

Values from the calculation:
Raw formation energy   -0.3854 eV/atom
VASP energy   -16.1 eV per formula unit
Size of the total moment   0.0 μB per formula unit